No. 1
Below is LaAlCrSn2 after structural relaxation, with properties calculated at the PBE level.

Properties
Energy of formation ... 161 meV/atom
Polymorph energy (0 for the lowest one) ... 0.0000 eV per atom

Geometry as POSCAR:
```
LaAlCrSn2
1.0
5.0970 0.0000 0.0000
0.0000 5.0970 0.0000
0.0000 0.0000 5.0674
La Al Cr Sn
1 1 1 2
direct
0.0000 0.0000 0.0000 La
0.5000 0.5000 0.0000 Al
0.0000 0.0000 0.5000 Cr
0.0000 0.5000 0.5000 Sn
0.5000 0.0000 0.5000 Sn
```


No. 2
Below is Er2ScPd4 after structural relaxation, with properties calculated at the PBE level.

Properties
Energy of formation ... -825 meV/atom

Geometry as POSCAR:
```
Er2ScPd4
1.0
3.9907 -2.3769 0.0000
3.9907 2.3769 0.0000
-2.9173 0.0000 7.1299
Er Sc Pd
2 1 4
direct
0.0649 0.0649 0.2174 Er
0.9351 0.9351 0.7826 Er
0.5000 0.5000 0.5000 Sc
0.2096 0.2096 0.6187 Pd
0.3546 0.3546 0.0684 Pd
0.6454 0.6454 0.9316 Pd
0.7904 0.7904 0.3813 Pd
```


No. 3
Below is Nd5Sm2Er6 after structural relaxation, with properties calculated at the PBE level.

Properties
Energy of formation ... 95 meV/atom

Geometry as POSCAR:
```
Nd5Sm2Er6
1.0
11.6946 0.0000 0.0000
0.0000 20.5520 0.0000
0.0000 0.0000 3.5994
Nd Sm Er
10 4 12
direct
0.0000 0.0000 0.0000 Nd
0.0836 0.2753 0.0000 Nd
0.1999 0.5503 0.0000 Nd
0.3001 0.0503 0.0000 Nd
0.4164 0.7753 0.0000 Nd
0.5000 0.5000 0.0000 Nd
0.5836 0.2247 0.0000 Nd
0.6999 0.9497 0.0000 Nd
0.8001 0.4497 0.0000 Nd
0.9164 0.7247 0.0000 Nd
0.1728 0.7136 0.5000 Sm
0.3272 0.2136 0.5000 Sm
0.6728 0.7864 0.5000 Sm
0.8272 0.2864 0.5000 Sm
0.0612 0.4207 0.5000 Er
0.0779 0.1326 0.5000 Er
0.1786 0.8662 0.0000 Er
0.3214 0.3662 0.0000 Er
0.4221 0.6326 0.5000 Er
0.4388 0.9207 0.5000 Er
0.5612 0.0793 0.5000 Er
0.5779 0.3674 0.5000 Er
0.6786 0.6338 0.0000 Er
0.8214 0.1338 0.0000 Er
0.9221 0.8674 0.5000 Er
0.9388 0.5793 0.5000 Er
```


No. 4
Below is CrAgHg after structural relaxation, with properties calculated at the PBE level.

Properties
Energy of formation ... 354 meV/atom
Polymorph energy (0 for the lowest one) ... 0.0000 eV per atom

Geometry as POSCAR:
```
CrAgHg
1.0
-1.6083 1.9146 4.5090
1.6083 -1.9146 4.5090
1.6083 1.9146 -4.5090
Cr Ag Hg
1 1 1
direct
0.0000 0.0000 0.0000 Cr
0.3388 0.3388 0.0000 Ag
0.6636 0.6636 0.0000 Hg
```


No. 5
Below is Ba4CuAu3 after structural relaxation, with properties calculated at the PBE level.

Properties
Energy of formation ... -540 meV/atom

Geometry as POSCAR:
```
Ba4CuAu3
1.0
4.6117 0.0000 0.0000
0.0000 4.8438 0.0000
0.0000 0.0000 12.4209
Ba Cu Au
4 1 3
direct
0.0000 0.0000 0.0000 Ba
0.0000 0.5000 0.2730 Ba
0.5000 0.0000 0.4993 Ba
0.5000 0.5000 0.7736 Ba
0.0000 0.0000 0.6947 Cu
0.0000 0.5000 0.5747 Au
0.5000 0.0000 0.2147 Au
0.5000 0.5000 0.0568 Au
```


No. 6
Below is PrNd2Dy3Se6 after structural relaxation, with properties calculated at the PBE level.

Properties
Energy relative to the elements, uncorrected ... -1.80 eV/atom

Geometry as POSCAR:
```
PrNd2Dy3Se6
1.0
9.1158 -2.0570 0.0000
9.1158 2.0570 0.0000
-2.1608 0.0000 8.1396
Pr Nd Dy Se
1 2 3 6
direct
0.0000 0.0000 0.0000 Pr
0.3335 0.3335 0.6672 Nd
0.6665 0.6665 0.3328 Nd
0.0000 0.0000 0.5000 Dy
0.3339 0.3339 0.1671 Dy
0.6661 0.6661 0.8329 Dy
0.1636 0.1636 0.5914 Se
0.1708 0.1708 0.0752 Se
0.4970 0.4970 0.2603 Se
0.5030 0.5030 0.7397 Se
0.8292 0.8292 0.9248 Se
0.8364 0.8364 0.4086 Se
```


No. 7
Below is Pm2Pr2S3 after structural relaxation, with properties calculated at the PBE level.

Properties
Energy relative to the elements, uncorrected ... -1.72 eV/atom

Geometry as POSCAR:
```
Pm2Pr2S3
1.0
6.7113 -2.0315 0.0000
6.7113 2.0315 0.0000
-1.3496 0.0000 6.8542
Pm Pr S
2 2 3
direct
0.1294 0.1294 0.3709 Pm
0.8706 0.8706 0.6291 Pm
0.3740 0.3740 0.1268 Pr
0.6260 0.6260 0.8732 Pr
0.0000 0.0000 0.0000 S
0.2516 0.2516 0.7470 S
0.7484 0.7484 0.2530 S
```


No. 8
Below is La12Nd7Zr after structural relaxation, with properties calculated at the PBE level.

Properties
Energy of formation ... 162 meV/atom

Geometry as POSCAR:
```
La12Nd7Zr
1.0
9.8178 5.6683 2.1492
-9.8178 5.6683 2.1492
0.0000 -11.3366 2.1492
La Nd Zr
12 7 1
direct
0.0000 0.4064 0.5936 La
0.0000 0.5936 0.4064 La
0.0592 0.0592 0.4150 La
0.0592 0.4150 0.0592 La
0.4064 0.0000 0.5936 La
0.4064 0.5936 0.0000 La
0.4150 0.0592 0.0592 La
0.5850 0.9408 0.9408 La
0.5936 0.0000 0.4064 La
0.5936 0.4064 0.0000 La
0.9408 0.5850 0.9408 La
0.9408 0.9408 0.5850 La
0.0000 0.0000 0.0000 Nd
0.1425 0.3919 0.3919 Nd
0.3919 0.1425 0.3919 Nd
0.3919 0.3919 0.1425 Nd
0.6081 0.6081 0.8575 Nd
0.6081 0.8575 0.6081 Nd
0.8575 0.6081 0.6081 Nd
0.5000 0.5000 0.5000 Zr
```


No. 9
Below is Tm5Hg2Rh after structural relaxation, with properties calculated at the PBE level.

Properties
Energy of formation ... -280 meV/atom
Polymorph energy (0 for the lowest one) ... 0.2389 eV per atom

Geometry as POSCAR:
```
Tm5Hg2Rh
1.0
2.7918 -6.0080 0.0000
2.7918 6.0080 0.0000
0.0000 0.0000 12.5005
Tm Hg Rh
10 4 2
direct
0.0772 0.9228 0.6044 Tm
0.0772 0.9228 0.8956 Tm
0.3752 0.6248 0.5629 Tm
0.3752 0.6248 0.9371 Tm
0.3994 0.6006 0.2500 Tm
0.6006 0.3994 0.7500 Tm
0.6248 0.3752 0.0629 Tm
0.6248 0.3752 0.4371 Tm
0.9228 0.0772 0.1044 Tm
0.9228 0.0772 0.3956 Tm
0.1816 0.8184 0.1291 Hg
0.1816 0.8184 0.3709 Hg
0.8184 0.1816 0.6291 Hg
0.8184 0.1816 0.8709 Hg
0.2409 0.7591 0.7500 Rh
0.7591 0.2409 0.2500 Rh
```